## NbVSeBr2 (PBE)

Data for an optimized crystal structure of NbVSeBr2.

N(E_F): 1.50 states/eV/atom
Symmetry: P4/mmm
Magnetic moment: 5.74 μB/f.u.

Structure (extended XYZ):
```
5
Lattice="5.284 0.000 0.000 0.000 5.284 0.000 0.000 0.000 5.071" Properties=species:S:1:pos:R:3 pbc="T T T"
Br 0.000 2.642 0.000
V 2.642 2.642 2.536
Se 0.000 0.000 2.536
Br 2.642 0.000 0.000
Nb 0.000 0.000 0.000
```

## NbWSe2Br (PBE)

Data for an optimized crystal structure of NbWSe2Br.

N(E_F): 1.19 states/eV/atom
Symmetry: P4/mmm
Magnetic moment: 0.99 μB/f.u.

Structure (extended XYZ):
```
5
Lattice="5.134 0.000 0.000 0.000 4.623 0.000 0.000 0.000 5.134" Properties=species:S:1:pos:R:3 pbc="T T T"
Nb 2.567 2.311 2.567
Se 0.000 0.000 2.567
W 0.000 2.311 0.000
Se 2.567 0.000 0.000
Br 0.000 0.000 0.000
```

## NbWSeBr2 (PBE)

Data for an optimized crystal structure of NbWSeBr2.

N(E_F): 1.22 states/eV/atom
Symmetry: P4/mmm
Magnetic moment: 5.50 μB/f.u.

Structure (extended XYZ):
```
5
Lattice="5.157 0.000 0.000 0.000 5.157 0.000 0.000 0.000 4.908" Properties=species:S:1:pos:R:3 pbc="T T T"
Se 0.000 0.000 2.454
Nb 2.579 2.579 2.454
Br 2.579 0.000 0.000
Br 0.000 2.579 0.000
W 0.000 0.000 0.000
```

## NbWSeBr2 (PBE)

Data for an optimized crystal structure of NbWSeBr2.

N(E_F): 0.93 states/eV/atom
Symmetry: P4/mmm
Magnetic moment: 5.81 μB/f.u.

Structure (extended XYZ):
```
5
Lattice="-1.299 -3.832 3.180 3.626 -2.981 -2.111 3.405 1.703 3.442" Properties=species:S:1:pos:R:3 pbc="T T T"
Br -0.649 -1.916 1.590
Nb 0.000 0.000 0.000
Se 1.702 0.852 1.721
Br 1.813 -1.490 -1.056
W 2.866 -2.555 2.256
```

## NbWSe2Br (PBE)

Data for an optimized crystal structure of NbWSe2Br.

N(E_F): 0.67 states/eV/atom
Symmetry: P4/mmm
Magnetic moment: 5.15 μB/f.u.

Structure (extended XYZ):
```
5
Lattice="5.084 0.000 0.000 0.000 5.084 0.000 0.000 0.000 5.050" Properties=species:S:1:pos:R:3 pbc="T T T"
Se 2.542 0.000 0.000
W 2.542 2.542 2.525
Nb 0.000 0.000 0.000
Se 0.000 2.542 0.000
Br 0.000 0.000 2.525
```

## NbWSe2Br (PBE)

Data for an optimized crystal structure of NbWSe2Br.

N(E_F): 1.15 states/eV/atom
Symmetry: P4/mmm
Magnetic moment: 4.23 μB/f.u.

Structure (extended XYZ):
```
5
Lattice="4.908 0.000 0.000 0.000 4.908 0.000 0.000 0.000 5.149" Properties=species:S:1:pos:R:3 pbc="T T T"
Se 0.000 2.454 0.000
Br 0.000 0.000 2.575
W 0.000 0.000 0.000
Se 2.454 0.000 0.000
Nb 2.454 2.454 2.575
```

## ZrNbSeBr2 (PBE)

Data for an optimized crystal structure of ZrNbSeBr2.

N(E_F): 1.52 states/eV/atom
Symmetry: P4/mmm
Magnetic moment: 3.78 μB/f.u.

Structure (extended XYZ):
```
5
Lattice="-2.686 4.381 0.319 -4.280 -2.552 -0.989 -0.693 -0.792 5.040" Properties=species:S:1:pos:R:3 pbc="T T T"
Br -0.346 -0.396 2.520
Zr -3.829 0.519 2.185
Se -2.140 -1.276 -0.495
Br -1.343 2.191 0.160
Nb 0.000 0.000 0.000
```

## ZrNbSeBr2 (PBE)

Data for an optimized crystal structure of ZrNbSeBr2.

N(E_F): 1.64 states/eV/atom
Symmetry: P4/mmm
Magnetic moment: 4.04 μB/f.u.

Structure (extended XYZ):
```
5
Lattice="-4.166 0.547 3.163 -3.204 -1.022 -4.043 0.194 -5.142 1.145" Properties=species:S:1:pos:R:3 pbc="T T T"
Nb -3.588 -2.808 0.132
Se 0.097 -2.571 0.573
Br -1.602 -0.511 -2.022
Br -2.083 0.274 1.581
Zr 0.000 0.000 0.000
```

## ZrNbSe2Br (PBE)

Data for an optimized crystal structure of ZrNbSe2Br.

N(E_F): 1.16 states/eV/atom
Symmetry: P4/mmm
Magnetic moment: 2.51 μB/f.u.

Structure (extended XYZ):
```
5
Lattice="5.014 0.000 0.000 0.000 5.014 0.000 0.000 0.000 5.013" Properties=species:S:1:pos:R:3 pbc="T T T"
Zr 2.507 2.507 2.507
Se 0.000 2.507 0.000
Br 0.000 0.000 2.507
Nb 0.000 0.000 0.000
Se 2.507 0.000 0.000
```

## ZrNbSe2Br (PBE)

Data for an optimized crystal structure of ZrNbSe2Br.

N(E_F): 1.26 states/eV/atom
Symmetry: P4/mmm
Magnetic moment: 3.71 μB/f.u.

Structure (extended XYZ):
```
5
Lattice="-3.215 4.047 0.830 -3.976 -2.745 -2.015 -1.109 -1.843 4.698" Properties=species:S:1:pos:R:3 pbc="T T T"
Br -0.554 -0.922 2.349
Se -1.988 -1.372 -1.008
Nb -4.150 -0.271 1.756
Se -1.607 2.024 0.415
Zr 0.000 0.000 0.000
```

## NbSi2Br (PBE)

Data for an optimized crystal structure of NbSi2Br.

N(E_F): 1.01 states/eV/atom
Symmetry: I-42d
Magnetic moment: 0.00 μB/f.u.

Structure (extended XYZ):
```
8
Lattice="6.189 0.000 0.000 0.000 6.189 0.000 3.095 3.095 5.809" Properties=species:S:1:pos:R:3 pbc="T T T"
Br 3.095 6.189 2.904
Si 4.642 4.382 4.357
Br 3.095 3.095 0.000
Nb 0.000 0.000 0.000
Si 1.288 4.642 1.452
Si 4.902 1.547 1.452
Nb 6.189 3.095 2.904
Si 7.737 7.997 4.357
```

## Nb2SiBr (PBE)

Data for an optimized crystal structure of Nb2SiBr.

N(E_F): 1.74 states/eV/atom
Symmetry: I-42d
Magnetic moment: 1.63 μB/f.u.

Structure (extended XYZ):
```
8
Lattice="5.846 0.000 0.000 0.000 5.846 0.000 2.923 2.923 5.779" Properties=species:S:1:pos:R:3 pbc="T T T"
Nb 4.268 1.462 1.445
Si 2.923 2.923 0.000
Br 0.000 0.000 0.000
Nb 7.308 7.192 4.334
Nb 4.385 4.501 4.334
Nb 1.578 4.385 1.445
Si 2.923 5.846 2.889
Br 5.846 2.923 2.889
```

For each record above, in turn, the calculated excess energy over the best structure of this formula in the dataset values are 0.0000, 1.0669, 0.0056, 0.0000, 0.0848, 0.0000, 0.0849, 0.0000, 0.0084, 0.0000, 0.0064, 0.6526 eV per atom.
For each record above, in turn, the calculated formation energy (no corrections) values are 315, 1939, 1018, 1012, 957, 872, 257, 172, 109, 100, 846, 810 meV per atom.